(1)
Density functional theory data (PBE) for a relaxed structure of Ca2RuSe.

Calculated values
Its total energy is -4.57 eV per atom. The calculated density is 4.38 g cm⁻³. For the raw formation energy, the calculation gives -380 meV/atom. Its total magnetic moment is 0.978 μB/f.u. The value obtained for the density of states at the Fermi level is 1.369 states/eV per atom.

The structure in CIF format:
```
data_Ca2RuSe
_symmetry_space_group_name_H-M 'P 1'
_symmetry_Int_Tables_number 1
_cell_length_a 8.2184
_cell_length_b 8.2184
_cell_length_c 8.2184
_cell_angle_alpha 26.68
_cell_angle_beta 26.68
_cell_angle_gamma 26.68
loop_
_symmetry_equiv_pos_as_xyz
'x,y,z'
loop_
_atom_site_label
_atom_site_fract_x
_atom_site_fract_y
_atom_site_fract_z
Se1 0.7500 0.7500 0.7500
Ca1 0.4948 0.4948 0.4948
Ru1 0.2500 0.2500 0.2500
Ca2 0.0052 0.0052 0.0052
```



(2)
Density functional theory data (PBE) for a relaxed structure of Ca2RuSe.

Calculated values
Its total energy is -4.43 eV per atom. The calculated density is 4.73 g cm⁻³. For the raw formation energy, the calculation gives -239 meV/atom. Its total magnetic moment is 1.281 μB/f.u. The value obtained for the density of states at the Fermi level is 0.967 states/eV per atom.

The structure in CIF format:
```
data_Ca2RuSe
_symmetry_space_group_name_H-M 'P 1'
_symmetry_Int_Tables_number 1
_cell_length_a 6.0590
_cell_length_b 6.0590
_cell_length_c 6.0590
_cell_angle_alpha 139.95
_cell_angle_beta 139.95
_cell_angle_gamma 57.94
loop_
_symmetry_equiv_pos_as_xyz
'x,y,z'
loop_
_atom_site_label
_atom_site_fract_x
_atom_site_fract_y
_atom_site_fract_z
Se1 0.7500 0.2500 0.5000
Ca1 0.0000 0.0000 0.0000
Ca2 0.2500 0.7500 0.5000
Ru1 0.5000 0.5000 0.0000
```



(3)
Density functional theory data (PBE) for a relaxed structure of CaRuSe.

Calculated values
Its total energy is -5.11 eV per atom. The calculated density is 5.60 g cm⁻³. For the raw formation energy, the calculation gives -185 meV/atom. Its total magnetic moment is 1.823 μB/f.u. The value obtained for the density of states at the Fermi level is 0.845 states/eV per atom.

The structure in CIF format:
```
data_CaRuSe
_symmetry_space_group_name_H-M 'P 1'
_symmetry_Int_Tables_number 1
_cell_length_a 4.5186
_cell_length_b 4.5186
_cell_length_c 4.5186
_cell_angle_alpha 60.00
_cell_angle_beta 60.00
_cell_angle_gamma 60.00
loop_
_symmetry_equiv_pos_as_xyz
'x,y,z'
loop_
_atom_site_label
_atom_site_fract_x
_atom_site_fract_y
_atom_site_fract_z
Ca1 0.0000 0.0000 0.0000
Se1 0.7500 0.7500 0.7500
Ru1 0.5000 0.5000 0.5000
```